[1]
A plane-wave DFT calculation with GGA-PBE was carried out for a relaxed AsPdRhSe2 crystal.

Output
Crystal system   tetragonal
Formation energy without anion corrections   873 meV per atom
DOS(E_F)   4.7 states/eV per cell
Space group   P4/mmm
Volume   113.9 Å³ per cell
Spin magnetization   0.74 Bohr magnetons per cell

abc: 4.799 4.799 4.946
angles: 90.00 90.00 90.00
Fractional positions:
1 As 0.000 0.000 0.000
2 Pd 0.500 0.500 0.500
3 Rh 0.500 0.500 0.000
4 Se 0.000 0.500 0.500
5 Se 0.500 0.000 0.500


[2]
A plane-wave DFT calculation with GGA-PBE was carried out for a relaxed PuZn9Ga3 crystal.

Output
Crystal system   monoclinic
Uncorrected energy   -35.885 eV for the cell shown
DOS(E_F)   12.8 states/eV per cell
Space group   C2/m
Volume   216.9 Å³ per cell
Spin magnetization   5.63 Bohr magnetons per cell

abc: 6.803 6.803 6.850
angles: 99.44 99.44 131.70
Fractional positions:
1 Pu 0.000 0.000 0.000
2 Zn 0.011 0.365 0.358
3 Zn 0.292 0.505 0.785
4 Zn 0.365 0.011 0.358
5 Zn 0.495 0.708 0.215
6 Zn 0.500 0.500 0.500
7 Zn 0.505 0.292 0.785
8 Zn 0.635 0.989 0.642
9 Zn 0.708 0.495 0.215
10 Zn 0.989 0.635 0.642
11 Ga 0.000 0.000 0.500
12 Ga 0.000 0.500 0.000
13 Ga 0.500 0.000 0.000


[3]
A plane-wave DFT calculation with GGA-PBE was carried out for a relaxed Na4Np3TeSe8 crystal.

Output
Crystal system   monoclinic
Formation energy without anion corrections   -966 meV per atom
DOS(E_F)   22.5 states/eV per cell
Space group   C2/m
Volume   444.2 Å³ per cell
Spin magnetization   3.32 Bohr magnetons per cell

abc: 8.681 8.681 8.394
angles: 118.90 118.90 57.26
Fractional positions:
1 Na 0.000 0.000 0.000
2 Na 0.000 0.500 0.000
3 Na 0.500 0.000 0.000
4 Na 0.500 0.500 0.000
5 Np 0.000 0.000 0.500
6 Np 0.000 0.500 0.500
7 Np 0.500 0.000 0.500
8 Te 0.500 0.500 0.500
9 Se 0.220 0.220 0.243
10 Se 0.235 0.235 0.729
11 Se 0.239 0.728 0.718
12 Se 0.272 0.761 0.282
13 Se 0.728 0.239 0.718
14 Se 0.761 0.272 0.282
15 Se 0.765 0.765 0.271
16 Se 0.780 0.780 0.757


[4]
A plane-wave DFT calculation with GGA-PBE was carried out for a relaxed ScSiTe crystal.

Output
Crystal system   trigonal
Formation energy without anion corrections   -122 meV per atom
DOS(E_F)   2.9 states/eV per cell
Space group   P3m1
Volume   68.4 Å³ per cell
Spin magnetization   0.00 Bohr magnetons per cell

abc: 3.615 3.615 6.043
angles: 90.00 90.00 120.00
Fractional positions:
1 Sc 0.000 0.000 0.000
2 Si 0.667 0.333 0.320
3 Te 0.333 0.667 0.658


[5]
A plane-wave DFT calculation with GGA-PBE was carried out for a relaxed CsHf3Co crystal.

Output
Crystal system   cubic
Uncorrected energy   -34.212 eV for the cell shown
DOS(E_F)   7.9 states/eV per cell
Space group   Pm-3m
Volume   126.2 Å³ per cell
Spin magnetization   0.00 Bohr magnetons per cell

abc: 5.016 5.016 5.016
angles: 90.00 90.00 90.00
Fractional positions:
1 Cs 0.000 0.000 0.000
2 Hf 0.000 0.500 0.500
3 Hf 0.500 0.000 0.500
4 Hf 0.500 0.500 0.000
5 Co 0.500 0.500 0.500


[6]
A plane-wave DFT calculation with GGA-PBE was carried out for a relaxed LaAsAu crystal.

Output
Crystal system   tetragonal
Uncorrected energy   -15.115 eV for the cell shown
DOS(E_F)   1.6 states/eV per cell
Space group   I4mm
Volume   76.2 Å³ per cell
Spin magnetization   0.00 Bohr magnetons per cell

abc: 5.322 5.322 5.322
angles: 134.19 134.19 66.79
Fractional positions:
1 La 0.000 0.000 0.000
2 As 0.362 0.362 0.000
3 Au 0.664 0.664 0.000


[7]
A plane-wave DFT calculation with GGA-PBE was carried out for a relaxed CaInAs2 crystal.

Output
Crystal system   monoclinic
Uncorrected energy   -15.779 eV for the cell shown
DOS(E_F)   1.5 states/eV per cell
Space group   C2/m
Volume   90.6 Å³ per cell
Spin magnetization   0.00 Bohr magnetons per cell

abc: 4.760 4.760 3.999
angles: 90.11 90.11 89.39
Fractional positions:
1 Ca 0.000 0.000 0.000
2 In 0.500 0.500 0.000
3 As 0.000 0.500 0.500
4 As 0.500 0.000 0.500


[8]
A plane-wave DFT calculation with GGA-PBE was carried out for a relaxed Tb3Sm4Ir4 crystal.

Output
Crystal system   orthorhombic
Uncorrected energy   -74.421 eV for the cell shown
DOS(E_F)   7.1 states/eV per cell
Space group   Immm
Volume   274.4 Å³ per cell
Spin magnetization   0.00 Bohr magnetons per cell

abc: 9.469 9.469 9.469
angles: 156.59 125.08 60.50
Fractional positions:
1 Tb 0.000 0.000 0.000
2 Tb 0.402 0.902 0.500
3 Tb 0.598 0.098 0.500
4 Sm 0.023 0.334 0.689
5 Sm 0.355 0.666 0.689
6 Sm 0.645 0.334 0.311
7 Sm 0.977 0.666 0.311
8 Ir 0.256 0.256 0.000
9 Ir 0.284 0.500 0.784
10 Ir 0.716 0.500 0.216
11 Ir 0.744 0.744 0.000


[9]
A plane-wave DFT calculation with GGA-PBE was carried out for a relaxed Ac5Pm2NdY crystal.

Output
Crystal system   orthorhombic
Uncorrected energy   -80.091 eV for the cell shown
DOS(E_F)   25.8 states/eV per cell
Space group   Cmc2_1
Volume   737.7 Å³ per cell
Spin magnetization   0.00 Bohr magnetons per cell

abc: 11.662 11.662 11.149
angles: 90.00 90.00 150.89
Fractional positions:
1 Ac 0.000 0.000 0.000
2 Ac 0.000 0.000 0.500
3 Ac 0.130 0.870 0.750
4 Ac 0.218 0.782 0.064
5 Ac 0.218 0.782 0.437
6 Ac 0.498 0.502 0.750
7 Ac 0.502 0.498 0.250
8 Ac 0.782 0.218 0.564
9 Ac 0.782 0.218 0.937
10 Ac 0.870 0.130 0.250
11 Pm 0.387 0.613 0.007
12 Pm 0.387 0.613 0.493
13 Pm 0.613 0.387 0.507
14 Pm 0.613 0.387 0.993
15 Nd 0.303 0.697 0.750
16 Nd 0.697 0.303 0.250
17 Y 0.098 0.902 0.250
18 Y 0.902 0.098 0.750


[10]
A plane-wave DFT calculation with GGA-PBE was carried out for a relaxed ScTaTiI2 crystal.

Output
Crystal system   tetragonal
Formation energy without anion corrections   1218 meV per atom
DOS(E_F)   6.7 states/eV per cell
Space group   P4/mmm
Volume   143.3 Å³ per cell
Spin magnetization   2.76 Bohr magnetons per cell

abc: 5.225 5.225 5.250
angles: 90.00 90.00 90.00
Fractional positions:
1 Sc 0.000 0.000 0.000
2 Ta 0.500 0.500 0.000
3 Ti 0.000 0.000 0.500
4 I 0.000 0.500 0.500
5 I 0.500 0.000 0.500


[11]
A plane-wave DFT calculation with GGA-PBE was carried out for a relaxed TbFe3 crystal.

Output
Crystal system   trigonal
Uncorrected energy   -90.781 eV for the cell shown
DOS(E_F)   13.4 states/eV per cell
Space group   R-3m
Volume   183.3 Å³ per cell
Spin magnetization   17.63 Bohr magnetons per cell

abc: 8.648 8.648 8.648
angles: 34.31 34.31 34.31
Fractional positions:
1 Tb 0.000 0.000 0.000
2 Tb 0.142 0.142 0.142
3 Tb 0.858 0.858 0.858
4 Fe 0.083 0.581 0.581
5 Fe 0.333 0.333 0.333
6 Fe 0.419 0.419 0.917
7 Fe 0.419 0.917 0.419
8 Fe 0.500 0.500 0.500
9 Fe 0.581 0.083 0.581
10 Fe 0.581 0.581 0.083
11 Fe 0.667 0.667 0.667
12 Fe 0.917 0.419 0.419


[12]
A plane-wave DFT calculation with GGA-PBE was carried out for a relaxed Sc2MnW crystal.

Output
Crystal system   monoclinic
Uncorrected energy   -33.433 eV for the cell shown
DOS(E_F)   5.3 states/eV per cell
Space group   P2/m
Volume   70.0 Å³ per cell
Spin magnetization   1.57 Bohr magnetons per cell

abc: 2.854 4.548 5.563
angles: 90.00 104.28 90.00
Fractional positions:
1 Sc 0.193 0.000 0.253
2 Sc 0.807 0.000 0.747
3 Mn 0.000 0.500 0.500
4 W 0.500 0.500 0.000


[13]
A plane-wave DFT calculation with GGA-PBE was carried out for a relaxed CdCu2HO crystal.

Output
Crystal system   tetragonal
Uncorrected energy   -17.478 eV for the cell shown
DOS(E_F)   1.5 states/eV per cell
Space group   P4/mmm
Volume   59.1 Å³ per cell
Spin magnetization   0.00 Bohr magnetons per cell

abc: 3.382 3.382 5.172
angles: 90.00 90.00 90.00
Fractional positions:
1 Cd 0.000 0.000 0.000
2 Cu 0.000 0.500 0.500
3 Cu 0.500 0.000 0.500
4 H 0.500 0.500 0.500
5 O 0.500 0.500 0.000


[14]
A plane-wave DFT calculation with GGA-PBE was carried out for a relaxed TaTc2Ir crystal.

Output
Crystal system   monoclinic
Uncorrected energy   -41.795 eV for the cell shown
DOS(E_F)   3.4 states/eV per cell
Space group   P2/m
Volume   62.0 Å³ per cell
Spin magnetization   0.00 Bohr magnetons per cell

abc: 2.737 4.151 5.534
angles: 90.00 99.34 90.00
Fractional positions:
1 Ta 0.000 0.000 0.000
2 Tc 0.420 0.500 0.261
3 Tc 0.580 0.500 0.739
4 Ir 0.000 0.000 0.500


[15]
A plane-wave DFT calculation with GGA-PBE was carried out for a relaxed Lu2RhS crystal.

Output
Crystal system   trigonal
Formation energy without anion corrections   -650 meV per atom
DOS(E_F)   3.5 states/eV per cell
Space group   R-3m
Volume   88.2 Å³ per cell
Spin magnetization   0.00 Bohr magnetons per cell

abc: 8.662 8.662 8.662
angles: 23.15 23.15 23.15
Fractional positions:
1 Lu 0.098 0.098 0.098
2 Lu 0.902 0.902 0.902
3 Rh 0.000 0.000 0.000
4 S 0.500 0.500 0.500


[16]
A plane-wave DFT calculation with GGA-PBE was carried out for a relaxed CaNdPdRu crystal.

Output
Crystal system   cubic
Uncorrected energy   -22.302 eV for the cell shown
DOS(E_F)   2.4 states/eV per cell
Space group   F-43m
Volume   86.3 Å³ per cell
Spin magnetization   0.00 Bohr magnetons per cell

abc: 4.960 4.960 4.960
angles: 60.00 60.00 60.00
Fractional positions:
1 Ca 0.000 0.000 0.000
2 Nd 0.500 0.500 0.500
3 Pd 0.250 0.250 0.250
4 Ru 0.750 0.750 0.750


[17]
A plane-wave DFT calculation with GGA-PBE was carried out for a relaxed DyScCd2 crystal.

Output
Crystal system   tetragonal
Uncorrected energy   -13.968 eV for the cell shown
DOS(E_F)   3.8 states/eV per cell
Space group   P4/mmm
Volume   96.5 Å³ per cell
Spin magnetization   0.11 Bohr magnetons per cell

abc: 3.609 3.609 7.407
angles: 90.00 90.00 90.00
Fractional positions:
1 Dy 0.000 0.000 0.000
2 Sc 0.000 0.000 0.500
3 Cd 0.500 0.500 0.271
4 Cd 0.500 0.500 0.729


[18]
A plane-wave DFT calculation with GGA-PBE was carried out for a relaxed BeFeHg2 crystal.

Output
Crystal system   cubic
Uncorrected energy   -10.107 eV for the cell shown
DOS(E_F)   4.0 states/eV per cell
Space group   F-43m
Volume   66.3 Å³ per cell
Spin magnetization   2.36 Bohr magnetons per cell

abc: 4.542 4.542 4.542
angles: 60.00 60.00 60.00
Fractional positions:
1 Be 0.000 0.000 0.000
2 Fe 0.250 0.250 0.250
3 Hg 0.500 0.500 0.500
4 Hg 0.750 0.750 0.750


[19]
A plane-wave DFT calculation with GGA-PBE was carried out for a relaxed Rb2NaMnAs2 crystal.

Output
Crystal system   orthorhombic
Uncorrected energy   -47.794 eV for the cell shown
DOS(E_F)   2.8 states/eV per cell
Space group   Ibam
Volume   362.6 Å³ per cell
Spin magnetization   8.00 Bohr magnetons per cell

abc: 9.172 9.172 9.172
angles: 135.22 63.46 137.47
Fractional positions:
1 Rb 0.174 0.238 0.412
2 Rb 0.326 0.738 0.064
3 Rb 0.674 0.262 0.936
4 Rb 0.826 0.762 0.588
5 Na 0.250 0.250 0.000
6 Na 0.750 0.750 0.000
7 Mn 0.250 0.750 0.500
8 Mn 0.750 0.250 0.500
9 As 0.085 0.698 0.783
10 As 0.415 0.198 0.613
11 As 0.585 0.802 0.387
12 As 0.915 0.302 0.217


[20]
A plane-wave DFT calculation with GGA-PBE was carried out for a relaxed Ca3Ac2Ni2 crystal.

Output
Crystal system   monoclinic
Uncorrected energy   -26.549 eV for the cell shown
DOS(E_F)   4.7 states/eV per cell
Space group   P2/m
Volume   249.7 Å³ per cell
Spin magnetization   0.00 Bohr magnetons per cell

abc: 4.167 4.080 14.836
angles: 90.00 98.17 90.00
Fractional positions:
1 Ca 0.000 0.000 0.000
2 Ca 0.195 0.000 0.389
3 Ca 0.805 0.000 0.611
4 Ac 0.402 0.500 0.803
5 Ac 0.598 0.500 0.197
6 Ni 0.098 0.000 0.197
7 Ni 0.902 0.000 0.803


[21]
A plane-wave DFT calculation with GGA-PBE was carried out for a relaxed ReTc3B crystal.

Output
Crystal system   monoclinic
Uncorrected energy   -200.673 eV for the cell shown
DOS(E_F)   13.1 states/eV per cell
Space group   P2_1/c
Volume   265.8 Å³ per cell
Spin magnetization   0.00 Bohr magnetons per cell

abc: 6.512 5.107 8.493
angles: 90.00 109.74 90.00
Fractional positions:
1 Re 0.106 0.181 0.125
2 Re 0.106 0.319 0.625
3 Re 0.894 0.681 0.375
4 Re 0.894 0.819 0.875
5 Tc 0.134 0.684 0.189
6 Tc 0.134 0.816 0.689
7 Tc 0.294 0.501 0.947
8 Tc 0.294 0.999 0.447
9 Tc 0.497 0.056 0.831
10 Tc 0.497 0.444 0.331
11 Tc 0.503 0.556 0.669
12 Tc 0.503 0.944 0.169
13 Tc 0.706 0.001 0.553
14 Tc 0.706 0.499 0.053
15 Tc 0.866 0.184 0.311
16 Tc 0.866 0.316 0.811
17 B 0.219 0.061 0.921
18 B 0.219 0.439 0.421
19 B 0.781 0.561 0.579
20 B 0.781 0.939 0.079


[22]
A plane-wave DFT calculation with GGA-PBE was carried out for a relaxed TiBe2Nb2Rh5 crystal.

Output
Crystal system   tetragonal
Uncorrected energy   -156.792 eV for the cell shown
DOS(E_F)   10.0 states/eV per cell
Space group   P4/mbm
Volume   274.3 Å³ per cell
Spin magnetization   0.00 Bohr magnetons per cell

abc: 9.564 9.564 2.998
angles: 90.00 90.00 90.00
Fractional positions:
1 Ti 0.000 0.000 0.000
2 Ti 0.500 0.500 0.000
3 Be 0.123 0.377 0.000
4 Be 0.377 0.877 0.000
5 Be 0.623 0.123 0.000
6 Be 0.877 0.623 0.000
7 Nb 0.177 0.677 0.000
8 Nb 0.323 0.177 0.000
9 Nb 0.677 0.823 0.000
10 Nb 0.823 0.323 0.000
11 Rh 0.000 0.500 0.500
12 Rh 0.066 0.209 0.500
13 Rh 0.209 0.934 0.500
14 Rh 0.291 0.434 0.500
15 Rh 0.434 0.709 0.500
16 Rh 0.500 0.000 0.500
17 Rh 0.566 0.291 0.500
18 Rh 0.709 0.566 0.500
19 Rh 0.791 0.066 0.500
20 Rh 0.934 0.791 0.500


[23]
A plane-wave DFT calculation with GGA-PBE was carried out for a relaxed TmNbC crystal.

Output
Crystal system   trigonal
Uncorrected energy   -24.631 eV for the cell shown
DOS(E_F)   2.0 states/eV per cell
Space group   P3m1
Volume   50.9 Å³ per cell
Spin magnetization   0.00 Bohr magnetons per cell

abc: 3.291 3.291 5.428
angles: 90.00 90.00 120.00
Fractional positions:
1 Tm 0.000 0.000 0.000
2 Nb 0.333 0.667 0.480
3 C 0.667 0.333 0.281


[24]
A plane-wave DFT calculation with GGA-PBE was carried out for a relaxed Pm3Dy5Er3 crystal.

Output
Crystal system   hexagonal
Uncorrected energy   -41.964 eV for the cell shown
DOS(E_F)   16.3 states/eV per cell
Space group   P-62m
Volume   434.7 Å³ per cell
Spin magnetization   0.00 Bohr magnetons per cell

abc: 9.658 9.658 5.382
angles: 90.00 90.00 120.00
Fractional positions:
1 Pm 0.000 0.367 0.000
2 Pm 0.367 0.000 0.000
3 Pm 0.633 0.633 0.000
4 Dy 0.000 0.738 0.000
5 Dy 0.262 0.262 0.000
6 Dy 0.333 0.667 0.000
7 Dy 0.667 0.333 0.000
8 Dy 0.738 0.000 0.000
9 Er 0.000 0.551 0.500
10 Er 0.449 0.449 0.500
11 Er 0.551 0.000 0.500